1.
Density functional theory data (PBE-GGA) for a relaxed TlCoMoAu crystal.

```
TlCoMoAu
1.0
2.819 0.089 0.083
1.400 3.023 0.036
1.380 1.075 8.710
Tl Mo Co Au
1 1 1 1
direct
0.372 0.222 0.893
0.596 0.293 0.337
0.915 0.838 0.157
0.204 0.813 0.591
```

Values from the calculation:
Mass density (g/cm³): 12.7
Space group: P1
Formation energy from the elements (meV per atom): 446
Total energy (eV/atom): -5.4495

=====

2.
Density functional theory data (PBE-GGA) for a relaxed Cd5Ag8Hg crystal.

```
Cd5Ag8Hg
1.0
-4.038 -3.336 5.119
0.057 -3.280 -6.548
6.422 0.035 3.521
Ag Cd Hg
8 5 1
direct
0.560 0.596 0.314
0.322 0.240 0.399
0.919 0.077 0.678
0.686 0.246 0.282
0.601 0.923 0.842
0.158 0.760 0.081
0.718 0.404 0.964
0.036 0.754 0.440
0.081 0.366 0.167
0.285 0.087 0.919
0.833 0.913 0.198
0.500 0.000 0.500
0.802 0.634 0.715
0.250 0.500 0.750
```

Values from the calculation:
Mass density (g/cm³): 9.2
Space group: I-4
Formation energy from the elements (meV per atom): 43
Total energy (eV/atom): -1.9346